[1]
Tl2FeRe | PBE | optimized geometry

E_form: 1.076 eV/atom
Density of states at the Fermi level: 4.45 states/eV per cell
Total magnetization: 3.35 μB/cell
Energy above the most stable polymorph in this dataset: 523 meV per atom

Unit cell a=4.249 b=4.249 c=4.083 alpha=90.00 beta=90.00 gamma=90.00
Space group P4/mmm (No. 123)
One atom of each set of equivalent atoms:
Tl: 0.000 0.500 0.000
Fe: 0.000 0.000 0.500
Re: 0.500 0.500 0.500

=====

[2]
Tl2FeRe | PBE | optimized geometry

E_form: 0.833 eV/atom
Density of states at the Fermi level: 6.51 states/eV per cell
Total magnetization: 4.66 μB/cell
Energy above the most stable polymorph in this dataset: 280 meV per atom

Unit cell a=10.883 b=3.053 c=5.002 alpha=90.00 beta=111.06 gamma=90.00
Space group Cm (No. 8)
One atom of each set of equivalent atoms:
Tl: 0.000 0.000 0.000
Tl: 0.211 0.000 0.633
Fe: 0.275 0.500 0.175
Re: 0.444 0.000 0.464

=====

[3]
TlFe2Re | PBE | optimized geometry

E_form: 0.501 eV/atom
Density of states at the Fermi level: 3.88 states/eV per cell
Total magnetization: 4.54 μB/cell
Energy above the most stable polymorph in this dataset: 4 meV per atom

Unit cell a=2.915 b=2.915 c=7.256 alpha=90.00 beta=90.00 gamma=90.00
Space group P4mm (No. 99)
One atom of each set of equivalent atoms:
Tl: 0.000 0.000 0.000
Fe: 0.000 0.000 0.483
Fe: 0.500 0.500 0.289
Re: 0.500 0.500 0.684

=====

[4]
TlFe2Re | PBE | optimized geometry

E_form: 0.619 eV/atom
Density of states at the Fermi level: 7.32 states/eV per cell
Total magnetization: 10.78 μB/cell
Energy above the most stable polymorph in this dataset: 122 meV per atom

Unit cell a=3.008 b=4.491 c=8.957 alpha=90.00 beta=90.00 gamma=90.00
Space group Imm2 (No. 44)
One atom of each set of equivalent atoms:
Tl: 0.000 0.000 0.000
Fe: 0.000 0.000 0.479
Fe: 0.000 0.500 0.760
Re: 0.000 0.500 0.222

=====

[5]
Tl2FeRe | PBE | optimized geometry

E_form: 1.053 eV/atom
Density of states at the Fermi level: 6.22 states/eV per cell
Total magnetization: 6.42 μB/cell
Energy above the most stable polymorph in this dataset: 500 meV per atom

Unit cell a=3.308 b=4.946 c=9.099 alpha=90.00 beta=90.00 gamma=90.00
Space group Immm (No. 71)
One atom of each set of equivalent atoms:
Tl: 0.000 0.000 0.239
Fe: 0.000 0.500 0.500
Re: 0.000 0.500 0.000

=====

[6]
Tl2FeRe | PBE | optimized geometry

E_form: 1.246 eV/atom
Density of states at the Fermi level: 97.53 states/eV per cell
Total magnetization: 0.00 μB/cell
Energy above the most stable polymorph in this dataset: 693 meV per atom

Unit cell a=6.571 b=6.571 c=6.571 alpha=90.00 beta=90.00 gamma=90.00
Space group Fm-3m (No. 225)
One atom of each set of equivalent atoms:
Tl: 0.250 0.250 0.250
Fe: 0.000 0.000 0.000
Re: 0.000 0.000 0.500

=====

[7]
TlFeRe2 | PBE | optimized geometry

E_form: 0.711 eV/atom
Density of states at the Fermi level: 7.26 states/eV per cell
Total magnetization: 4.19 μB/cell
Energy above the most stable polymorph in this dataset: 192 meV per atom

Unit cell a=9.112 b=2.971 c=4.916 alpha=90.00 beta=101.58 gamma=90.00
Space group Cm (No. 8)
One atom of each set of equivalent atoms:
Tl: 0.000 0.000 0.000
Fe: 0.259 0.500 0.266
Re: 0.236 0.000 0.673
Re: 0.496 0.000 0.496

=====

[8]
TlFe2Re | PBE | optimized geometry

E_form: 0.801 eV/atom
Density of states at the Fermi level: 23.01 states/eV per cell
Total magnetization: 18.21 μB/cell
Energy above the most stable polymorph in this dataset: 304 meV per atom

Unit cell a=6.255 b=6.255 c=6.255 alpha=90.00 beta=90.00 gamma=90.00
Space group F-43m (No. 216)
One atom of each set of equivalent atoms:
Tl: 0.000 0.000 0.000
Fe: 0.000 0.000 0.500
Fe: 0.250 0.250 0.250
Re: 0.250 0.250 0.750

=====

> Which value of energy above the most stable polymorph in this dataset does entry 3 give?

4 meV per atom